# 1
PBE-GGA ReOsSe2, relaxed; energy relative to the lowest polymorph listed for this composition = 0 meV per atom; formation energy without anion corrections = 0.17 eV/atom
1.0
2.933 0.000 0.000
0.000 2.933 0.000
0.000 0.000 8.560
Re Os Se
1 1 2
Cartesian
0.000 0.000 0.000
1.467 1.467 6.676
0.000 0.000 5.069
1.467 1.467 1.563

# 2
PBE-GGA ReOs2Se2, relaxed; energy relative to the lowest polymorph listed for this composition = 307 meV per atom; formation energy without anion corrections = 1.34 eV/atom
1.0
4.138 0.000 0.000
0.000 4.138 0.000
0.000 0.000 10.464
Re Os Se
2 4 4
Cartesian
0.000 0.000 0.000
2.069 2.069 5.232
0.000 2.069 2.616
0.000 2.069 7.848
2.069 0.000 2.616
2.069 0.000 7.848
0.000 0.000 3.911
0.000 0.000 6.553
2.069 2.069 1.321
2.069 2.069 9.143

# 3
PBE-GGA ReOsSe2, relaxed; energy relative to the lowest polymorph listed for this composition = 895 meV per atom; formation energy without anion corrections = 1.07 eV/atom
1.0
2.920 0.000 0.000
0.000 4.915 0.000
0.000 0.000 9.047
Re Os Se
2 2 4
Cartesian
0.000 0.000 0.000
1.460 2.458 0.000
0.000 0.000 4.524
1.460 2.458 4.524
0.000 2.458 2.242
0.000 2.458 6.805
1.460 0.000 2.242
1.460 0.000 6.805

# 4
PBE-GGA ReOsSe2, relaxed; energy relative to the lowest polymorph listed for this composition = 377 meV per atom; formation energy without anion corrections = 0.55 eV/atom
1.0
3.053 0.000 0.000
-1.527 2.644 0.000
0.000 0.000 25.154
Re Os Se
3 3 6
Cartesian
0.000 0.000 0.000
0.000 1.763 16.769
1.527 0.881 8.385
0.000 0.000 12.577
0.000 1.763 4.192
1.527 0.881 20.961
0.000 0.000 10.216
0.000 0.000 14.938
0.000 1.763 1.831
0.000 1.763 6.553
1.527 0.881 18.601
1.527 0.881 23.322

# 5
PBE-GGA ReOsSe2, relaxed; energy relative to the lowest polymorph listed for this composition = 416 meV per atom; formation energy without anion corrections = 0.59 eV/atom
1.0
8.087 0.000 0.000
0.000 3.018 0.000
-1.074 0.000 5.117
Re Os Se
2 2 4
Cartesian
0.000 0.000 0.000
4.044 1.509 0.000
-0.537 1.509 2.559
3.507 0.000 2.559
1.704 1.509 1.258
1.265 0.000 3.859
5.748 0.000 1.258
5.309 1.509 3.859

# 6
PBE-GGA ReOsSe2, relaxed; energy relative to the lowest polymorph listed for this composition = 457 meV per atom; formation energy without anion corrections = 0.63 eV/atom
1.0
2.899 0.000 0.000
0.000 4.947 0.000
0.000 0.000 10.072
Re Os Se
2 2 4
Cartesian
0.000 0.000 0.000
1.449 2.473 0.000
0.000 2.473 7.935
1.449 0.000 7.935
0.000 0.000 5.694
0.000 2.473 2.211
1.449 0.000 2.211
1.449 2.473 5.694

# 7
PBE-GGA ReOsSe2, relaxed; energy relative to the lowest polymorph listed for this composition = 824 meV per atom; formation energy without anion corrections = 1.00 eV/atom
1.0
4.109 0.000 0.000
0.000 4.109 0.000
0.000 0.000 7.633
Re Os Se
2 2 4
Cartesian
0.000 0.000 0.000
2.054 2.054 3.816
0.000 2.054 1.908
2.054 0.000 5.725
0.000 0.000 3.816
0.000 2.054 5.725
2.054 0.000 1.908
2.054 2.054 0.000

# 8
PBE-GGA ReOsSe2, relaxed; energy relative to the lowest polymorph listed for this composition = 526 meV per atom; formation energy without anion corrections = 0.70 eV/atom
1.0
5.514 0.000 0.000
0.000 5.514 0.000
0.000 0.000 11.074
Re Os Se
4 4 8
Cartesian
0.000 0.000 0.000
0.000 2.757 2.769
2.757 0.000 8.306
2.757 2.757 5.537
0.000 0.000 5.537
0.000 2.757 8.306
2.757 0.000 2.769
2.757 2.757 0.000
1.375 1.379 6.921
1.379 4.132 9.690
1.379 4.140 4.153
1.382 1.379 1.384
4.132 4.136 1.384
4.136 1.375 4.153
4.136 1.382 9.690
4.140 4.136 6.921

# 9
PBE-GGA ReOsSe4, relaxed; energy relative to the lowest polymorph listed for this composition = 0 meV per atom; formation energy without anion corrections = 0.01 eV/atom
1.0
3.588 -7.574 0.000
3.588 7.574 0.000
-2.784 0.000 4.739
Re Os Se
2 2 8
Cartesian
1.499 6.127 3.554
2.892 -6.127 1.185
2.892 5.126 1.185
1.499 -5.126 3.554
1.271 2.899 1.195
-0.429 0.676 3.539
0.963 -0.676 1.169
-0.121 -2.899 3.564
4.512 2.899 1.175
3.428 0.676 3.570
4.820 -0.676 1.201
3.120 -2.899 3.545

# 10
PBE-GGA ReOsSe2, relaxed; energy relative to the lowest polymorph listed for this composition = 890 meV per atom; formation energy without anion corrections = 1.06 eV/atom
1.0
2.935 0.000 0.000
0.000 4.411 0.000
0.000 0.000 5.020
Re Os Se
1 1 2
Cartesian
0.000 0.000 0.000
1.467 0.000 2.510
0.000 2.206 2.510
1.467 2.206 0.000

# 11
PBE-GGA Re3OsSe, relaxed; energy relative to the lowest polymorph listed for this composition = 0 meV per atom; formation energy without anion corrections = 2.06 eV/atom
1.0
4.462 0.000 0.000
0.000 4.462 0.000
0.000 0.000 4.462
Re Os Se
3 1 1
Cartesian
0.000 0.000 2.231
0.000 2.231 0.000
2.231 0.000 0.000
2.231 2.231 2.231
0.000 0.000 0.000

# 12
PBE-GGA ReOsSe2, relaxed; energy relative to the lowest polymorph listed for this composition = 194 meV per atom; formation energy without anion corrections = 0.37 eV/atom
1.0
2.920 0.000 0.000
0.000 4.040 0.000
-1.175 0.000 6.629
Re Os Se
1 1 2
Cartesian
0.000 0.000 0.000
0.173 2.020 5.594
-0.559 0.000 4.205
0.894 2.020 1.380

# 13
PBE-GGA ReOs2Se2, relaxed; energy relative to the lowest polymorph listed for this composition = 0 meV per atom; formation energy without anion corrections = 1.03 eV/atom
1.0
7.244 0.000 0.000
0.000 7.244 0.000
0.000 0.000 2.950
Re Os Se
2 4 4
Cartesian
0.000 0.000 0.000
3.622 3.622 0.000
1.110 2.512 1.475
2.512 6.134 1.475
4.733 1.110 1.475
6.134 4.733 1.475
1.103 4.725 0.000
2.519 1.103 0.000
4.725 6.142 0.000
6.142 2.519 0.000

# 14
PBE-GGA ReOsSe2, relaxed; energy relative to the lowest polymorph listed for this composition = 713 meV per atom; formation energy without anion corrections = 0.89 eV/atom
1.0
3.973 0.000 0.000
0.000 4.323 0.000
-0.611 0.000 3.961
Re Os Se
1 1 2
Cartesian
0.000 0.000 0.000
1.681 0.000 1.980
0.524 2.162 2.977
2.837 2.162 0.984

# 15
PBE-GGA ReOsSe2, relaxed; energy relative to the lowest polymorph listed for this composition = 210 meV per atom; formation energy without anion corrections = 0.38 eV/atom
1.0
2.987 0.000 0.000
0.000 3.913 0.000
0.000 0.000 6.627
Re Os Se
1 1 2
Cartesian
0.000 0.000 0.000
1.493 1.956 5.443
0.000 0.000 4.225
1.493 1.956 1.228